No. 1
Density functional theory data (PBE) for a relaxed Cs2AlReF6 crystal.

The space group is I4/mmm (No. 139) and the conventional cell measures 6.397, 6.397 and 9.622 Å, with angles of 90.00, 90.00 and 90.00 degrees. Symmetry generates all atoms from Cs at (0.000, 0.500, 0.250), Al at (0.000, 0.000, 0.000), Re at (0.000, 0.000, 0.500), F at (0.000, 0.000, 0.290) and F at (0.234, 0.234, 0.500).

The energy relative to the elements, uncorrected is -1.9997 eV/atom.

No. 2
Density functional theory data (PBE) for a relaxed K3Pu2NpSe6 crystal.

The space group is C2/m (No. 12) and the conventional cell measures 7.405, 12.826 and 8.026 Å, with angles of 90.00, 107.91 and 90.00 degrees. Symmetry generates all atoms from K at (0.000, 0.000, 0.000), K at (0.000, 0.333, 0.000), Pu at (0.000, 0.167, 0.500), Np at (0.000, 0.500, 0.500), Se at (0.233, 0.335, 0.705) and Se at (0.239, 0.000, 0.705).

The energy relative to the elements, uncorrected is -1.4125 eV/atom.

No. 3
Density functional theory data (PBE) for a relaxed K2Li2Ca crystal.

The space group is P4/mbm (No. 127) and the conventional cell measures 9.610, 9.610 and 4.821 Å, with angles of 90.00, 90.00 and 90.00 degrees. Symmetry generates all atoms from K at (0.173, 0.327, 0.000), Li at (0.122, 0.622, 0.500) and Ca at (0.000, 0.000, 0.500).

The polymorph energy (0 for the lowest one) is 0 meV/atom. The calculation puts the formation enthalpy at 0 K at 19.81 kJ/mol of atoms.

no.,total magnetization (μB per cell),E (eV per cell),DOS at the Fermi energy (states/eV/f.u.)
1,4.00,-98.24,0.000
2,28.00,-165.51,33.450
3,0.00,-13.99,2.817